[1]
{"formula": "DyThTlOs", "functional": "GGA-PBE", "state": "relaxed", "formation_enthalpy_0k_kj_per_mol_atoms": -28.8, "cell": [[3.419, 0.000, 0.000], [0.000, 3.419, 0.000], [0.000, 0.000, 8.571]], "species": ["Dy", "Th", "Tl", "Os"], "fractional_positions": [[0.000, 0.000, 0.000], [0.000, 0.000, 0.410], [0.500, 0.500, 0.717], [0.500, 0.500, 0.201]]}

[2]
{"formula": "Pm2BeCuPt6", "functional": "GGA-PBE", "state": "relaxed", "formation_enthalpy_0k_kj_per_mol_atoms": -70.4, "cell": [[4.851, -2.805, 0.000], [4.851, 2.805, 0.000], [-3.233, 0.000, 6.936]], "species": ["Pm", "Pm", "Be", "Cu", "Pt", "Pt", "Pt", "Pt", "Pt", "Pt"], "fractional_positions": [[0.207, 0.207, 0.121], [0.793, 0.793, 0.879], [0.000, 0.000, 0.500], [0.500, 0.500, 0.000], [0.240, 0.731, 0.713], [0.241, 0.241, 0.713], [0.269, 0.760, 0.287], [0.731, 0.240, 0.713], [0.759, 0.759, 0.287], [0.760, 0.269, 0.287]]}

no.,uncorrected energy (eV/atom)
1,-6.7029
2,-6.0868